AlCoO3 | PBE+U | optimized geometry

Computed properties:
- DOS(E_F) (states/eV per cell) = 0.00
- final energy (eV per formula unit) = -33.392
- total moment (μB per formula unit) = 0.0

The structure in CIF format:
```
data_AlCoO3
_cell_length_a 4.8298
_cell_length_b 4.8298
_cell_length_c 13.0619
_cell_angle_alpha 90.00
_cell_angle_beta 90.00
_cell_angle_gamma 120.00
_space_group_name_H-M_alt 'R -3'
_space_group_IT_number 148
_space_group_name_Hall '-R 3'
loop_
_atom_site_label
_atom_site_fract_x
_atom_site_fract_y
_atom_site_fract_z
Al1 0.0000 0.0000 0.1462
Co1 0.0000 0.0000 0.3447
O1 0.9995 0.3038 0.2488
```

=====

LiMo2O6 | PBE+U | optimized geometry

Computed properties:
- DOS(E_F) (states/eV per cell) = 2.99
- final energy (eV per formula unit) = -60.616
- total moment (μB per formula unit) = 1.0

The structure in CIF format:
```
data_LiMo2O6
_cell_length_a 9.747
_cell_length_b 3.835
_cell_length_c 6.700
_cell_angle_alpha 90.00
_cell_angle_beta 112.84
_cell_angle_gamma 90.00
_space_group_name_H-M_alt 'C 1 2/m 1'
_space_group_IT_number 12
loop_
_space_group_symop_operation_xyz
'x,y,z'
'-x,-y,-z'
'-x,y,-z'
'x,-y,z'
'x+1/2,y+1/2,z'
'-x+1/2,-y+1/2,-z'
'-x+1/2,y+1/2,-z'
'x+1/2,-y+1/2,z'
loop_
_atom_site_label
_atom_site_fract_x
_atom_site_fract_y
_atom_site_fract_z
Li1 0.000 0.000 0.000
Mo1 0.183 0.000 0.648
O1 0.015 0.000 0.703
O2 0.163 0.500 0.105
O3 0.196 0.500 0.567
```

=====

> What is the formula in the first record?

AlCoO3

=====

Copy entry 2 word for word.
LiMo2O6 | PBE+U | optimized geometry

Computed properties:
- DOS(E_F) (states/eV per cell) = 2.99
- final energy (eV per formula unit) = -60.616
- total moment (μB per formula unit) = 1.0

The structure in CIF format:
```
data_LiMo2O6
_cell_length_a 9.747
_cell_length_b 3.835
_cell_length_c 6.700
_cell_angle_alpha 90.00
_cell_angle_beta 112.84
_cell_angle_gamma 90.00
_space_group_name_H-M_alt 'C 1 2/m 1'
_space_group_IT_number 12
loop_
_space_group_symop_operation_xyz
'x,y,z'
'-x,-y,-z'
'-x,y,-z'
'x,-y,z'
'x+1/2,y+1/2,z'
'-x+1/2,-y+1/2,-z'
'-x+1/2,y+1/2,-z'
'x+1/2,-y+1/2,z'
loop_
_atom_site_label
_atom_site_fract_x
_atom_site_fract_y
_atom_site_fract_z
Li1 0.000 0.000 0.000
Mo1 0.183 0.000 0.648
O1 0.015 0.000 0.703
O2 0.163 0.500 0.105
O3 0.196 0.500 0.567
```

=====

> Which of these has the lowest final energy?

LiMo2O6

=====

> Which value of final energy does entry 1 give?

-33.392 eV per formula unit